Material: VMo2PbO8
Method: DFT, PBE+U
State: relaxed

Lattice parameters (Å, degrees): 5.8704 5.8704 6.7827 90.00 90.00 120.00
Positions (direct):
V: 0.0000 0.0000 0.0000
Mo: 0.3333 0.6667 0.2731
Mo: 0.6667 0.3333 0.7269
Pb: 0.0000 0.0000 0.5000
O: 0.1614 0.3249 0.1947
O: 0.1635 0.8386 0.1947
O: 0.3249 0.1635 0.8053
O: 0.3333 0.6667 0.5328
O: 0.6667 0.3333 0.4672
O: 0.6751 0.8365 0.1947
O: 0.8365 0.1614 0.8053
O: 0.8386 0.6751 0.8053

V: 202.4 Å³/cell
magnetization: 0.25 μB/atom
uncorrected energy: -7.0244 eV per atom